Entry 1:
This record from Alexandria describes a geometry-optimized CsTlAg structure. The functional is PBE.

Results
The calculation puts the energy of formation from the pure elements at -2 meV per atom. The volume comes out at 38.921 Å³ per atom. Its space group is C2/m, No. 12. As for the magnetization: 0.0 μB/f.u. For the energy above the most stable polymorph in this dataset, the calculation gives 30 meV per atom.

Cell lengths 7.247, 7.247, 8.899 Å; angles 126.07, 126.07, 39.87 degrees
Positions (direct):
1 Cs 0.079 0.079 0.355
2 Cs 0.921 0.921 0.645
3 Tl 0.283 0.283 0.170
4 Tl 0.717 0.717 0.830
5 Ag 0.378 0.378 0.947
6 Ag 0.622 0.622 0.053

Entry 2:
This record from Alexandria describes a geometry-optimized Cs2TlAg structure. The functional is PBE.

Results
The calculation puts the energy of formation from the pure elements at 87 meV per atom. The volume comes out at 47.616 Å³ per atom. Its space group is P4/mmm, No. 123. As for the magnetization: 0.0 μB/f.u. For the energy above the most stable polymorph in this dataset, the calculation gives 96 meV per atom.

Cell lengths 4.567, 4.567, 9.133 Å; angles 90.00, 90.00, 90.00 degrees
Positions (direct):
1 Cs 0.000 0.000 0.233
2 Cs 0.000 0.000 0.767
3 Tl 0.500 0.500 0.500
4 Ag 0.500 0.500 0.000

Entry 3:
This record from Alexandria describes a geometry-optimized Cs2Tl4Ag structure. The functional is PBE.

Results
The calculation puts the energy of formation from the pure elements at 87 meV per atom. The volume comes out at 45.842 Å³ per atom. Its space group is I4/mmm, No. 139. As for the magnetization: 0.0 μB/f.u.

Cell lengths 10.971, 10.971, 10.971 Å; angles 150.42, 150.42, 42.32 degrees
Positions (direct):
1 Cs 0.160 0.160 0.000
2 Cs 0.840 0.840 0.000
3 Tl 0.000 0.500 0.500
4 Tl 0.362 0.362 0.000
5 Tl 0.500 0.000 0.500
6 Tl 0.638 0.638 0.000
7 Ag 0.500 0.500 0.000

Entry 4:
This record from Alexandria describes a geometry-optimized Cs4Tl3Ag2 structure. The functional is PBE.

Results
The calculation puts the energy of formation from the pure elements at -22 meV per atom. The volume comes out at 47.004 Å³ per atom. Its space group is C2/m, No. 12. As for the magnetization: 0.0 μB/f.u.

Cell lengths 10.299, 10.299, 9.120 Å; angles 106.77, 106.77, 27.26 degrees
Positions (direct):
1 Cs 0.079 0.079 0.390
2 Cs 0.266 0.266 0.809
3 Cs 0.734 0.734 0.191
4 Cs 0.921 0.921 0.610
5 Tl 0.405 0.405 0.233
6 Tl 0.500 0.500 0.000
7 Tl 0.595 0.595 0.767
8 Ag 0.080 0.080 0.946
9 Ag 0.920 0.920 0.054

What did the fourth record say?
This record from Alexandria describes a geometry-optimized Cs4Tl3Ag2 structure. The functional is PBE.

Results
The calculation puts the energy of formation from the pure elements at -22 meV per atom. The volume comes out at 47.004 Å³ per atom. Its space group is C2/m, No. 12. As for the magnetization: 0.0 μB/f.u.

Cell lengths 10.299, 10.299, 9.120 Å; angles 106.77, 106.77, 27.26 degrees
Positions (direct):
1 Cs 0.079 0.079 0.390
2 Cs 0.266 0.266 0.809
3 Cs 0.734 0.734 0.191
4 Cs 0.921 0.921 0.610
5 Tl 0.405 0.405 0.233
6 Tl 0.500 0.500 0.000
7 Tl 0.595 0.595 0.767
8 Ag 0.080 0.080 0.946
9 Ag 0.920 0.920 0.054

Q: Look up the energy of formation from the pure elements of the third one.
A: 87 meV per atom